(1)
# KInGa2Bi

A relaxed structure of KInGa2Bi (PBE, the Alexandria database).

POSCAR file:
```
KInGa2Bi
1.0
-1.2548 4.7338 -0.5963
-4.4970 -0.8658 2.5895
5.4580 -0.6298 3.9236
K In Ga Bi
1 1 2 1
Cartesian
2.2394 1.1311 4.2671
-1.3636 0.0140 2.9809
0.3335 2.8522 1.5329
0.4536 0.2291 0.8644
-1.1550 2.8032 4.2758
```

***

(2)
# K2In4Ga3Bi

A relaxed structure of K2In4Ga3Bi (PBE, the Alexandria database).

POSCAR file:
```
K2In4Ga3Bi
1.0
-0.7599 -2.1046 -4.4012
2.5595 -3.9640 1.4536
-10.1675 -5.0379 4.1647
Ga K In Bi
3 2 4 1
Cartesian
0.0192 -2.6066 1.2431
-5.0837 -2.5190 2.0823
-9.2869 -5.4656 1.4477
-2.8431 -2.2728 -1.1917
-6.4245 -5.7994 3.8825
-6.9771 -4.3211 0.5016
0.0000 0.0000 0.0000
0.8998 -3.0343 -1.4738
-2.2906 -3.7511 2.1892
-4.1839 -5.5532 0.6085
```

***

(3)
# KInGaBi

A relaxed structure of KInGaBi (PBE, the Alexandria database).

POSCAR file:
```
KInGaBi
1.0
5.5800 0.0000 0.0000
2.7900 4.8324 0.0000
2.7900 1.6108 4.5561
Bi K Ga In
1 1 1 1
Cartesian
0.0000 0.0000 0.0000
5.5800 3.2216 2.2780
2.7900 1.6108 1.1390
8.3700 4.8324 3.4170
```

***

(4)
# MgInGaBi

A relaxed structure of MgInGaBi (PBE, the Alexandria database).

POSCAR file:
```
MgInGaBi
1.0
5.2412 0.0000 0.0000
2.6206 4.5390 0.0000
2.6206 1.5130 4.2794
Bi Ga Mg In
1 1 1 1
Cartesian
5.2412 3.0260 2.1397
2.6206 1.5130 1.0699
7.8618 4.5390 3.2096
0.0000 0.0000 0.0000
```

***

(5)
# InGaBiPb

A relaxed structure of InGaBiPb (PBE, the Alexandria database).

POSCAR file:
```
InGaBiPb
1.0
-0.9374 3.6395 3.9709
-4.5931 -0.2961 2.9511
0.2114 -1.5536 5.2378
Pb Bi Ga In
1 1 1 1
Cartesian
-3.9893 1.3423 9.1198
-2.6595 0.8949 6.0799
-1.3298 0.4474 3.0399
0.0000 0.0000 0.0000
```

E above lowest polymorph (eV/atom): 0.0310

***

(6)
# InGa2BiPb

A relaxed structure of InGa2BiPb (PBE, the Alexandria database).

POSCAR file:
```
InGa2BiPb
1.0
5.2205 0.0000 0.0000
0.0000 5.8734 0.0000
0.0000 0.0000 5.2205
Ga In Pb Bi
2 1 1 1
Cartesian
2.6103 0.0000 0.0000
0.0000 0.0000 2.6103
0.0000 0.0000 0.0000
0.0000 2.9367 0.0000
2.6103 2.9367 2.6103
```

***

(7)
# InGaBiPb

A relaxed structure of InGaBiPb (PBE, the Alexandria database).

POSCAR file:
```
InGaBiPb
1.0
3.4342 0.0000 0.0000
0.0000 3.4342 0.0000
0.0000 0.0000 9.4024
Bi Ga In Pb
1 1 1 1
Cartesian
0.0000 0.0000 0.7449
0.0000 0.0000 5.3006
1.7171 1.7171 3.2950
1.7171 1.7171 7.4399
```

E above lowest polymorph (eV/atom): 0.0000

***

(8)
# In2GaBiPt

A relaxed structure of In2GaBiPt (PBE, the Alexandria database).

POSCAR file:
```
In2GaBiPt
1.0
-5.0740 1.2612 -0.9628
-1.0356 -5.0764 -1.1921
-1.0836 -0.8565 4.5886
Pt Bi In Ga
1 1 2 1
Cartesian
0.0000 0.0000 0.0000
-3.5966 -2.3358 1.2168
-2.5370 0.6306 -0.4814
-0.5178 -2.5382 -0.5961
-0.5418 -0.4283 2.2943
```

***

no.,total moment (μB/atom),energy of formation from the pure elements (eV/atom),total DFT energy (no corrections) (eV per atom)
1,0.00,-0.13,-2.8859
2,0.00,-0.12,-2.7319
3,0.00,-0.06,-2.7436
4,0.00,0.00,-2.8059
5,0.00,0.08,-3.2539
6,0.00,0.42,-2.8593
7,0.00,0.05,-3.2850
8,0.00,-0.13,-3.8108